PBE-GGA CsIrO3, optimized geometry; total DFT energy (no corrections) = -3.136 eV/atom; formation energy from raw total energies = 1781 meV per atom; space-group type = No. 221
1.0
4.3976 0.0000 0.0000
0.0000 4.3976 0.0000
0.0000 0.0000 4.3976
Cs Ir O
1 1 3
direct
0.0000 0.0000 0.0000 Cs
0.5000 0.5000 0.5000 Ir
0.0000 0.0000 0.5000 O
0.0000 0.5000 0.0000 O
0.5000 0.0000 0.0000 O

=====

PBE-GGA Cs3IrO, optimized geometry; total DFT energy (no corrections) = -3.077 eV/atom; formation energy from raw total energies = 199 meV per atom; space-group type = No. 221
1.0
5.8541 0.0000 0.0000
0.0000 5.8541 0.0000
0.0000 0.0000 5.8541
Cs Ir O
3 1 1
direct
0.0000 0.0000 0.5000 Cs
0.0000 0.5000 0.0000 Cs
0.5000 0.0000 0.0000 Cs
0.5000 0.5000 0.5000 Ir
0.0000 0.0000 0.0000 O

=====

PBE-GGA CsIr4O8, optimized geometry; total DFT energy (no corrections) = -6.614 eV/atom; formation energy from raw total energies = -770 meV per atom; space-group type = No. 166
1.0
3.1699 1.8302 7.0037
-3.1699 1.8302 7.0037
0.0000 -3.6603 7.0037
Cs Ir O
1 4 8
direct
0.0000 0.0000 0.0000 Cs
0.0000 0.0000 0.5000 Ir
0.0000 0.5000 0.0000 Ir
0.5000 0.0000 0.0000 Ir
0.5000 0.5000 0.5000 Ir
0.2094 0.2094 0.2094 O
0.2121 0.7098 0.7098 O
0.2902 0.2902 0.7879 O
0.2902 0.7879 0.2902 O
0.7098 0.2121 0.7098 O
0.7098 0.7098 0.2121 O
0.7879 0.2902 0.2902 O
0.7906 0.7906 0.7906 O

=====

PBE-GGA Cs4IrO4, optimized geometry; total DFT energy (no corrections) = -4.529 eV/atom; formation energy from raw total energies = -962 meV per atom; space-group type = No. 121
1.0
-3.4362 3.4362 6.5183
3.4362 -3.4362 6.5183
3.4362 3.4362 -6.5183
Cs Ir O
4 1 4
direct
0.0000 0.5000 0.5000 Cs
0.2126 0.2126 0.0000 Cs
0.5000 0.0000 0.5000 Cs
0.7874 0.7874 0.0000 Cs
0.5000 0.5000 0.0000 Ir
0.2537 0.5315 0.0000 O
0.4685 0.4685 0.7222 O
0.5315 0.2537 0.0000 O
0.7463 0.7463 0.2778 O

=====

Which value of total DFT energy (no corrections) does entry 2 give? -3.077 eV/atom